(1)
This record from Alexandria describes crystalline SrVF2 at its relaxed geometry. The functional is GGA+U.

The structure in POSCAR format:
```
SrVF2
1.0
1.992 1.150 6.107
-1.992 1.150 6.107
0.000 -2.300 6.107
Sr V F
1 1 2
Cartesian
0.000 0.000 0.000
0.000 0.000 9.161
0.000 0.000 6.993
0.000 0.000 11.329
```

Energy above the most stable polymorph in this dataset = 0 meV/atom
Uncorrected energy = -5.3743 eV/atom
Theoretical density = 3.5 g cm⁻³
Crystal system = trigonal

(2)
This record from Alexandria describes crystalline SrV3F at its relaxed geometry. The functional is GGA+U.

The structure in POSCAR format:
```
SrV3F
1.0
4.823 0.000 0.000
0.000 4.823 0.000
0.000 0.000 4.823
Sr V F
1 3 1
Cartesian
0.000 0.000 0.000
0.000 2.412 2.412
2.412 0.000 2.412
2.412 2.412 0.000
2.412 2.412 2.412
```

Energy above the most stable polymorph in this dataset = 0 meV/atom
Uncorrected energy = -4.6531 eV/atom
Theoretical density = 3.8 g cm⁻³
Crystal system = cubic

(3)
This record from Alexandria describes crystalline SrVF3 at its relaxed geometry. The functional is GGA+U.

The structure in POSCAR format:
```
SrVF3
1.0
4.353 0.000 0.000
0.000 4.353 0.000
0.000 0.000 4.353
Sr V F
1 1 3
Cartesian
0.000 0.000 0.000
2.177 2.177 2.177
0.000 2.177 2.177
2.177 0.000 2.177
2.177 2.177 0.000
```

Energy above the most stable polymorph in this dataset = 0 meV/atom
Uncorrected energy = -5.4396 eV/atom
Theoretical density = 3.9 g cm⁻³
Crystal system = cubic

(4)
This record from Alexandria describes crystalline SrVF2 at its relaxed geometry. The functional is GGA+U.

The structure in POSCAR format:
```
SrVF2
1.0
-2.835 2.835 5.445
2.835 -2.835 5.445
2.835 2.835 -5.445
Sr V F
2 2 4
Cartesian
0.000 0.000 0.000
0.000 2.835 2.722
2.835 0.000 2.722
0.000 0.000 5.445
4.253 1.376 -1.361
1.376 1.418 1.361
-1.418 1.459 4.084
1.459 1.418 6.806
```

Energy above the most stable polymorph in this dataset = 378 meV/atom
Uncorrected energy = -4.9964 eV/atom
Theoretical density = 3.3 g cm⁻³
Crystal system = tetragonal

(5)
This record from Alexandria describes crystalline SrVF2 at its relaxed geometry. The functional is GGA+U.

The structure in POSCAR format:
```
SrVF2
1.0
1.882 1.087 6.560
-1.882 1.087 6.560
0.000 -2.174 6.560
Sr V F
1 1 2
Cartesian
0.000 0.000 0.000
0.000 0.000 9.839
0.000 0.000 2.487
0.000 0.000 17.191
```

Energy above the most stable polymorph in this dataset = 386 meV/atom
Uncorrected energy = -4.9883 eV/atom
Theoretical density = 3.6 g cm⁻³
Crystal system = trigonal

(6)
This record from Alexandria describes crystalline Sr2VF at its relaxed geometry. The functional is GGA+U.

The structure in POSCAR format:
```
Sr2VF
1.0
0.000 3.891 3.891
3.891 0.000 3.891
3.891 3.891 0.000
Sr V F
2 1 1
Cartesian
1.945 1.945 1.945
5.836 5.836 5.836
0.000 0.000 0.000
3.891 3.891 3.891
```

Energy above the most stable polymorph in this dataset = 544 meV/atom
Uncorrected energy = -3.3612 eV/atom
Theoretical density = 3.5 g cm⁻³
Crystal system = cubic

(7)
This record from Alexandria describes crystalline Sr2VF at its relaxed geometry. The functional is GGA+U.

The structure in POSCAR format:
```
Sr2VF
1.0
-3.862 3.862 4.300
3.862 -3.862 4.300
3.862 3.862 -4.300
Sr V F
4 2 2
Cartesian
5.793 1.135 -1.075
1.135 1.931 1.075
-1.931 2.727 3.225
2.727 1.931 5.375
3.862 0.000 2.150
0.000 0.000 4.300
0.000 0.000 0.000
0.000 3.862 2.150
```

Energy above the most stable polymorph in this dataset = 0 meV/atom
Uncorrected energy = -3.9055 eV/atom
Theoretical density = 3.2 g cm⁻³
Crystal system = tetragonal

(8)
This record from Alexandria describes crystalline SrVF3 at its relaxed geometry. The functional is GGA+U.

The structure in POSCAR format:
```
SrVF3
1.0
4.710 0.000 0.000
0.000 4.710 0.000
0.000 0.000 4.710
Sr V F
1 1 3
Cartesian
0.000 0.000 0.000
2.355 2.355 2.355
0.000 0.000 2.355
0.000 2.355 0.000
2.355 0.000 0.000
```

Energy above the most stable polymorph in this dataset = 402 meV/atom
Uncorrected energy = -5.0374 eV/atom
Theoretical density = 3.1 g cm⁻³
Crystal system = cubic

(9)
This record from Alexandria describes crystalline SrVF4 at its relaxed geometry. The functional is GGA+U.

The structure in POSCAR format:
```
SrVF4
1.0
3.702 -5.769 0.000
3.702 5.769 0.000
-3.421 0.000 4.288
Sr V F
2 2 8
Cartesian
1.136 4.160 3.216
2.847 -4.160 1.072
2.847 0.948 1.072
1.136 -0.948 3.216
1.399 2.386 1.504
-0.628 0.374 3.269
1.083 -0.374 1.125
4.295 2.386 0.640
-0.312 -2.386 3.648
2.900 0.374 3.163
4.611 -0.374 1.019
2.584 -2.386 2.784
```

Uncorrected energy = -6.0305 eV/atom
Theoretical density = 3.9 g cm⁻³
Crystal system = monoclinic

(10)
This record from Alexandria describes crystalline SrV3F at its relaxed geometry. The functional is GGA+U.

The structure in POSCAR format:
```
SrV3F
1.0
6.119 0.000 0.000
0.000 6.119 0.000
0.000 0.000 6.119
Sr V F
1 3 1
Cartesian
0.000 0.000 0.000
0.000 0.000 3.059
0.000 3.059 0.000
3.059 0.000 0.000
3.059 3.059 3.059
```

Energy above the most stable polymorph in this dataset = 1516 meV/atom
Uncorrected energy = -3.1375 eV/atom
Theoretical density = 1.9 g cm⁻³
Crystal system = cubic

(11)
This record from Alexandria describes crystalline SrVZn2F8 at its relaxed geometry. The functional is GGA+U.

The structure in POSCAR format:
```
SrVZn2F8
1.0
-2.677 2.677 5.680
2.677 -2.677 5.680
2.677 2.677 -5.680
Sr V Zn F
1 1 2 8
Cartesian
0.000 0.000 0.000
0.000 2.677 2.840
2.677 0.000 2.840
0.000 0.000 5.680
1.626 -1.427 3.724
1.757 1.315 -1.055
1.250 1.051 1.957
1.362 -0.920 6.735
1.051 4.105 -1.957
0.920 1.362 4.625
1.315 3.597 1.055
1.427 1.626 7.637
```

Uncorrected energy = -4.8819 eV/atom
Theoretical density = 4.3 g cm⁻³
Crystal system = tetragonal

(12)
This record from Alexandria describes crystalline SrVZnF6 at its relaxed geometry. The functional is GGA+U.

The structure in POSCAR format:
```
SrVZnF6
1.0
5.497 0.000 0.000
-2.748 4.760 0.000
0.000 0.000 5.220
Sr V Zn F
1 1 1 6
Cartesian
0.000 0.000 0.000
2.748 1.587 2.610
0.000 3.174 2.610
-0.956 1.719 1.482
-1.738 3.073 3.738
0.956 1.719 3.738
-0.781 4.729 1.482
1.738 3.073 1.482
0.781 4.729 3.738
```

Uncorrected energy = -5.3784 eV/atom
Theoretical density = 3.9 g cm⁻³
Crystal system = trigonal

(13)
This record from Alexandria describes crystalline SrW2F at its relaxed geometry. The functional is GGA+U.

The structure in POSCAR format:
```
SrW2F
1.0
-3.131 3.131 6.461
3.131 -3.131 6.461
3.131 3.131 -6.461
Sr W F
2 4 2
Cartesian
3.131 1.565 1.615
0.000 1.565 4.846
0.000 0.000 0.000
1.565 1.565 -3.230
1.565 -1.565 3.230
0.000 3.131 0.000
3.131 -1.565 4.846
0.000 4.696 1.615
```

Energy above the most stable polymorph in this dataset = 0 meV/atom
Uncorrected energy = -3.8368 eV/atom
Theoretical density = 6.2 g cm⁻³
Crystal system = tetragonal

(14)
This record from Alexandria describes crystalline Sr2W2F at its relaxed geometry. The functional is GGA+U.

The structure in POSCAR format:
```
Sr2W2F
1.0
6.923 0.000 0.000
0.000 6.923 0.000
0.000 0.000 5.519
Sr W F
4 4 2
Cartesian
1.164 2.298 0.000
2.298 5.759 0.000
4.625 1.164 0.000
5.759 4.625 0.000
0.865 4.326 2.759
2.597 0.865 2.759
4.326 6.058 2.759
6.058 2.597 2.759
0.000 0.000 2.759
3.461 3.461 2.759
```

Energy above the most stable polymorph in this dataset = 268 meV/atom
Uncorrected energy = -3.0603 eV/atom
Theoretical density = 7.1 g cm⁻³
Crystal system = tetragonal

(15)
This record from Alexandria describes crystalline SrWF2 at its relaxed geometry. The functional is GGA+U.

The structure in POSCAR format:
```
SrWF2
1.0
2.381 1.375 4.290
-2.381 1.375 4.290
0.000 -2.750 4.290
Sr W F
1 1 2
Cartesian
0.000 0.000 0.000
0.000 0.000 6.435
0.000 0.000 2.442
0.000 0.000 10.428
```

Energy above the most stable polymorph in this dataset = 669 meV/atom
Uncorrected energy = -4.3599 eV/atom
Theoretical density = 6.1 g cm⁻³
Crystal system = trigonal

(16)
This record from Alexandria describes crystalline SrWF2 at its relaxed geometry. The functional is GGA+U.

The structure in POSCAR format:
```
SrWF2
1.0
2.028 1.171 6.068
-2.028 1.171 6.068
0.000 -2.341 6.068
Sr W F
1 1 2
Cartesian
0.000 0.000 0.000
0.000 0.000 9.102
0.000 0.000 6.875
0.000 0.000 11.329
```

Energy above the most stable polymorph in this dataset = 0 meV/atom
Uncorrected energy = -5.0290 eV/atom
Theoretical density = 5.9 g cm⁻³
Crystal system = trigonal

(17)
This record from Alexandria describes crystalline SrWF5 at its relaxed geometry. The functional is GGA+U.

The structure in POSCAR format:
```
SrWF5
1.0
4.883 -3.556 0.000
4.883 3.556 0.000
-3.371 0.000 7.479
Sr W F
2 2 10
Cartesian
2.355 3.291 5.610
4.041 -3.291 1.870
4.883 0.000 0.000
3.198 0.000 3.740
4.720 2.110 0.204
3.361 2.110 3.536
1.314 0.131 2.852
-0.372 -0.131 6.592
2.355 0.636 5.610
4.041 -0.636 1.870
6.768 0.131 0.887
5.082 -0.131 4.627
3.034 -2.110 3.944
1.676 -2.110 7.275
```

Uncorrected energy = -5.7764 eV/atom
Theoretical density = 4.7 g cm⁻³
Crystal system = monoclinic

(18)
This record from Alexandria describes crystalline SrWF3 at its relaxed geometry. The functional is GGA+U.

The structure in POSCAR format:
```
SrWF3
1.0
4.715 0.000 0.000
0.000 4.715 0.000
0.000 0.000 4.715
Sr W F
1 1 3
Cartesian
0.000 0.000 0.000
2.357 2.357 2.357
0.000 0.000 2.357
0.000 2.357 0.000
2.357 0.000 0.000
```

Energy above the most stable polymorph in this dataset = 15 meV/atom
Uncorrected energy = -4.7021 eV/atom
Theoretical density = 5.2 g cm⁻³
Crystal system = cubic

(19)
This record from Alexandria describes crystalline SrW3F at its relaxed geometry. The functional is GGA+U.

The structure in POSCAR format:
```
SrW3F
1.0
4.552 0.000 0.000
0.000 4.552 0.000
0.000 0.000 4.552
Sr W F
1 3 1
Cartesian
0.000 0.000 0.000
0.000 2.276 2.276
2.276 0.000 2.276
2.276 2.276 0.000
2.276 2.276 2.276
```

Uncorrected energy = -3.3089 eV/atom
Theoretical density = 11.6 g cm⁻³
Crystal system = cubic

(20)
This record from Alexandria describes crystalline SrWF3 at its relaxed geometry. The functional is GGA+U.

The structure in POSCAR format:
```
SrWF3
1.0
4.596 0.000 0.000
0.000 4.596 0.000
0.000 0.000 4.596
Sr W F
1 1 3
Cartesian
0.000 0.000 0.000
2.298 2.298 2.298
0.000 2.298 2.298
2.298 0.000 2.298
2.298 2.298 0.000
```

Energy above the most stable polymorph in this dataset = 0 meV/atom
Uncorrected energy = -4.7171 eV/atom
Theoretical density = 5.6 g cm⁻³
Crystal system = cubic

(21)
This record from Alexandria describes crystalline SrWF2 at its relaxed geometry. The functional is GGA+U.

The structure in POSCAR format:
```
SrWF2
1.0
-2.877 2.877 6.270
2.877 -2.877 6.270
2.877 2.877 -6.270
Sr W F
2 2 4
Cartesian
0.000 0.000 0.000
0.000 2.877 3.135
2.877 0.000 3.135
0.000 0.000 6.270
4.315 0.993 -1.568
0.993 1.438 1.568
-1.438 1.884 4.703
1.884 1.438 7.838
```

Energy above the most stable polymorph in this dataset = 447 meV/atom
Uncorrected energy = -4.5815 eV/atom
Theoretical density = 5.0 g cm⁻³
Crystal system = tetragonal

(22)
This record from Alexandria describes crystalline SrW2F at its relaxed geometry. The functional is GGA+U.

The structure in POSCAR format:
```
SrW2F
1.0
0.000 3.743 3.743
3.743 0.000 3.743
3.743 3.743 0.000
Sr W F
1 2 1
Cartesian
0.000 0.000 0.000
1.871 1.871 1.871
5.614 5.614 5.614
3.743 3.743 3.743
```

Energy above the most stable polymorph in this dataset = 479 meV/atom
Uncorrected energy = -3.3578 eV/atom
Theoretical density = 7.5 g cm⁻³
Crystal system = cubic

(23)
This record from Alexandria describes crystalline Sr2W2F at its relaxed geometry. The functional is GGA+U.

The structure in POSCAR format:
```
Sr2W2F
1.0
-3.384 3.384 3.811
3.384 -3.384 3.811
3.384 3.384 -3.811
Sr W F
2 2 1
Cartesian
3.384 0.000 1.905
0.000 3.384 1.905
0.000 0.000 1.570
0.000 0.000 6.051
0.000 0.000 3.811
```

Energy above the most stable polymorph in this dataset = 0 meV/atom
Uncorrected energy = -3.3281 eV/atom
Theoretical density = 5.3 g cm⁻³
Crystal system = tetragonal